No. 1
Rb3Er: relaxed, GGA-PBE. Values from VASP.

Quantum ESPRESSO input file:
```
&SYSTEM
  ibrav = 0, nat = 8, ntyp = 2
/
ATOMIC_SPECIES
Rb 85.47 Rb.upf
Er 167.26 Er.upf
ATOMIC_POSITIONS angstrom
Rb 0.000 2.712 1.845
Rb -2.163 6.458 1.845
Rb 2.348 1.356 5.535
Rb 2.163 6.458 1.845
Rb 6.674 1.356 5.535
Rb 4.511 5.102 5.535
Er 0.000 5.209 5.535
Er 4.511 2.605 1.845
CELL_PARAMETERS angstrom
9.023 0.000 0.000
-4.511 7.814 0.000
0.000 0.000 7.380
```

Results
Its relative energy among the computed polymorphs is 0.0 meV/atom.



No. 2
ZnTc2Os: relaxed, GGA-PBE. Values from VASP.

Quantum ESPRESSO input file:
```
&SYSTEM
  ibrav = 0, nat = 4, ntyp = 3
/
ATOMIC_SPECIES
Zn 65.41 Zn.upf
Tc 98.00 Tc.upf
Os 190.23 Os.upf
ATOMIC_POSITIONS angstrom
Zn 0.000 0.000 0.000
Tc 0.000 1.916 1.958
Tc 1.916 0.000 1.958
Os 1.916 1.916 0.000
CELL_PARAMETERS angstrom
3.831 0.000 0.000
0.000 3.831 0.000
0.000 0.000 3.916
```

Results
For the total energy, the calculation gives -7.9805 eV per atom.



No. 3
Cd2PWI: relaxed, GGA-PBE. Values from VASP.

Quantum ESPRESSO input file:
```
&SYSTEM
  ibrav = 0, nat = 5, ntyp = 4
/
ATOMIC_SPECIES
Cd 112.41 Cd.upf
P 30.97 P.upf
W 183.84 W.upf
I 126.90 I.upf
ATOMIC_POSITIONS angstrom
Cd 0.000 2.520 0.000
Cd 2.520 0.000 0.000
P 0.000 0.000 0.000
W 2.520 2.520 2.789
I 0.000 0.000 2.789
CELL_PARAMETERS angstrom
5.040 0.000 0.000
0.000 5.040 0.000
0.000 0.000 5.578
```

Results
The calculation puts the uncorrected formation energy at 7.2 eV per formula unit.



No. 4
TlP2Rh: relaxed, GGA-PBE. Values from VASP.

Quantum ESPRESSO input file:
```
&SYSTEM
  ibrav = 0, nat = 4, ntyp = 3
/
ATOMIC_SPECIES
Tl 204.38 Tl.upf
P 30.97 P.upf
Rh 102.91 Rh.upf
ATOMIC_POSITIONS angstrom
Tl 0.000 0.000 0.000
P 0.000 1.917 2.389
P 1.917 0.000 2.389
Rh 1.917 1.917 0.000
CELL_PARAMETERS angstrom
3.834 0.000 0.000
0.000 3.834 0.000
0.000 0.000 4.778
```

Results
Its relative energy among the computed polymorphs is 664.5 meV/atom.



No. 5
PmGdBeCu: relaxed, GGA-PBE. Values from VASP.

Quantum ESPRESSO input file:
```
&SYSTEM
  ibrav = 0, nat = 4, ntyp = 4
/
ATOMIC_SPECIES
Pm 145.00 Pm.upf
Gd 157.25 Gd.upf
Be 9.01 Be.upf
Cu 63.55 Cu.upf
ATOMIC_POSITIONS angstrom
Pm 0.000 0.000 0.000
Gd 3.511 3.511 3.511
Be 5.267 5.267 5.267
Cu 1.756 1.756 1.756
CELL_PARAMETERS angstrom
0.000 3.511 3.511
3.511 0.000 3.511
3.511 3.511 0.000
```

Results
For the total energy, the calculation gives -6.6684 eV per atom.



No. 6
Y3Ho: relaxed, GGA-PBE. Values from VASP.

Quantum ESPRESSO input file:
```
&SYSTEM
  ibrav = 0, nat = 4, ntyp = 2
/
ATOMIC_SPECIES
Y 88.91 Y.upf
Ho 164.93 Ho.upf
ATOMIC_POSITIONS angstrom
Y 0.000 0.000 0.000
Y 2.011 2.011 2.011
Y 6.033 6.033 6.033
Ho 4.022 4.022 4.022
CELL_PARAMETERS angstrom
0.000 4.022 4.022
4.022 0.000 4.022
4.022 4.022 0.000
```

Results
Its relative energy among the computed polymorphs is 132.1 meV/atom.